## In5Bi12Pb3 (PBE)

Data for an optimized crystal structure of In5Bi12Pb3.

Cell: 15.896 15.896 15.896 Å, 109.47 109.47 109.47°
Sites, in units of the cell vectors:
1 In 0.000 0.000 0.000
2 In 0.000 0.000 0.500
3 In 0.000 0.500 0.000
4 In 0.000 0.500 0.500
5 In 0.125 0.750 0.875
6 In 0.125 0.875 0.250
7 In 0.250 0.125 0.875
8 In 0.250 0.625 0.375
9 In 0.375 0.250 0.625
10 In 0.375 0.625 0.750
11 In 0.500 0.000 0.000
12 In 0.500 0.000 0.500
13 In 0.500 0.500 0.000
14 In 0.500 0.500 0.500
15 In 0.625 0.375 0.250
16 In 0.625 0.750 0.375
17 In 0.750 0.375 0.625
18 In 0.750 0.875 0.125
19 In 0.875 0.125 0.750
20 In 0.875 0.250 0.125
21 Bi 0.061 0.230 0.143
22 Bi 0.061 0.332 0.918
23 Bi 0.082 0.643 0.414
24 Bi 0.082 0.939 0.668
25 Bi 0.086 0.730 0.668
26 Bi 0.086 0.857 0.418
27 Bi 0.143 0.061 0.230
28 Bi 0.143 0.582 0.914
29 Bi 0.168 0.230 0.586
30 Bi 0.168 0.439 0.582
31 Bi 0.230 0.143 0.061
32 Bi 0.230 0.586 0.168
33 Bi 0.270 0.332 0.914
34 Bi 0.270 0.439 0.357
35 Bi 0.332 0.914 0.270
36 Bi 0.332 0.918 0.061
37 Bi 0.357 0.270 0.439
38 Bi 0.357 0.586 0.918
39 Bi 0.414 0.082 0.643
40 Bi 0.414 0.832 0.770
41 Bi 0.418 0.086 0.857
42 Bi 0.418 0.832 0.561
43 Bi 0.439 0.357 0.270
44 Bi 0.439 0.582 0.168
45 Bi 0.561 0.418 0.832
46 Bi 0.561 0.643 0.730
47 Bi 0.582 0.168 0.439
48 Bi 0.582 0.914 0.143
49 Bi 0.586 0.168 0.230
50 Bi 0.586 0.918 0.357
51 Bi 0.643 0.414 0.082
52 Bi 0.643 0.730 0.561
53 Bi 0.668 0.082 0.939
54 Bi 0.668 0.086 0.730
55 Bi 0.730 0.561 0.643
56 Bi 0.730 0.668 0.086
57 Bi 0.770 0.414 0.832
58 Bi 0.770 0.857 0.939
59 Bi 0.832 0.561 0.418
60 Bi 0.832 0.770 0.414
61 Bi 0.857 0.418 0.086
62 Bi 0.857 0.939 0.770
63 Bi 0.914 0.143 0.582
64 Bi 0.914 0.270 0.332
65 Bi 0.918 0.061 0.332
66 Bi 0.918 0.357 0.586
67 Bi 0.939 0.668 0.082
68 Bi 0.939 0.770 0.857
69 Pb 0.125 0.250 0.375
70 Pb 0.125 0.375 0.750
71 Pb 0.250 0.375 0.125
72 Pb 0.250 0.875 0.625
73 Pb 0.375 0.125 0.250
74 Pb 0.375 0.750 0.125
75 Pb 0.625 0.250 0.875
76 Pb 0.625 0.875 0.750
77 Pb 0.750 0.125 0.375
78 Pb 0.750 0.625 0.875
79 Pb 0.875 0.625 0.250
80 Pb 0.875 0.750 0.625

Total energy, eV per atom: -3.3135
DOS(E_F), states/eV/f.u.: 18.48
Magnetic moment, μB per atom: 0.000
Mass density, kg/m³: 7956
Crystal system: cubic
Formation enthalpy at 0 K, eV/f.u.: 5.12

=====

## Sc2PtRh (PBE)

Data for an optimized crystal structure of Sc2PtRh.

Cell: 3.247 3.247 6.605 Å, 90.00 90.00 90.00°
Sites, in units of the cell vectors:
1 Sc 0.000 0.000 0.245
2 Sc 0.000 0.000 0.755
3 Pt 0.500 0.500 0.500
4 Rh 0.500 0.500 0.000

Total energy, eV per atom: -7.6494
DOS(E_F), states/eV/f.u.: 1.72
Magnetic moment, μB per atom: 0.000
Mass density, kg/m³: 9253
Crystal system: tetragonal
Formation enthalpy at 0 K, eV/f.u.: -4.54

=====

## In2SnPd (PBE)

Data for an optimized crystal structure of In2SnPd.

Cell: 5.996 5.996 5.996 Å, 44.98 44.98 44.98°
Sites, in units of the cell vectors:
1 In 0.000 0.000 0.000
2 In 0.213 0.213 0.213
3 Sn 0.780 0.780 0.780
4 Pd 0.609 0.609 0.609

Total energy, eV per atom: -3.8483
DOS(E_F), states/eV/f.u.: 1.89
Magnetic moment, μB per atom: 0.000
Mass density, kg/m³: 7705
Crystal system: trigonal
Formation enthalpy at 0 K, eV/f.u.: -0.72

=====

## K5Pt (PBE)

Data for an optimized crystal structure of K5Pt.

Cell: 7.102 7.102 7.384 Å, 90.00 90.00 120.00°
Sites, in units of the cell vectors:
1 K 0.000 0.500 0.000
2 K 0.333 0.667 0.500
3 K 0.500 0.000 0.000
4 K 0.500 0.500 0.000
5 K 0.667 0.333 0.500
6 Pt 0.000 0.000 0.500

Total energy, eV per atom: -1.4101
DOS(E_F), states/eV/f.u.: 3.12
Magnetic moment, μB per atom: 0.000
Mass density, kg/m³: 2011
Crystal system: hexagonal
Energy above the lowest structure with this stoichiometry, meV per atom: 468
Formation enthalpy at 0 K, eV/f.u.: 3.07

=====

## Th6TeC2S3 (PBE)

Data for an optimized crystal structure of Th6TeC2S3.

Cell: 8.990 8.990 8.292 Å, 101.21 101.21 25.54°
Sites, in units of the cell vectors:
1 Th 0.020 0.020 0.284
2 Th 0.321 0.321 0.871
3 Th 0.326 0.326 0.433
4 Th 0.674 0.674 0.567
5 Th 0.679 0.679 0.129
6 Th 0.980 0.980 0.716
7 Te 0.500 0.500 0.000
8 C 0.175 0.175 0.339
9 C 0.825 0.825 0.661
10 S 0.157 0.157 0.834
11 S 0.500 0.500 0.500
12 S 0.843 0.843 0.166

Total energy, eV per atom: -7.7250
DOS(E_F), states/eV/f.u.: 7.23
Magnetic moment, μB per atom: 0.000
Mass density, kg/m³: 9618
Crystal system: monoclinic
ΔE_f (raw), eV/atom: -1.18

=====

## Pm4YS7 (PBE)

Data for an optimized crystal structure of Pm4YS7.

Cell: 6.880 6.880 11.828 Å, 104.37 104.37 33.00°
Sites, in units of the cell vectors:
1 Pm 0.000 0.000 0.000
2 Pm 0.189 0.189 0.767
3 Pm 0.587 0.587 0.385
4 Pm 0.888 0.888 0.575
5 Y 0.776 0.776 0.155
6 S 0.153 0.153 0.224
7 S 0.228 0.228 0.525
8 S 0.385 0.385 0.079
9 S 0.548 0.548 0.628
10 S 0.630 0.630 0.932
11 S 0.847 0.847 0.792
12 S 0.928 0.928 0.357

Total energy, eV per atom: -6.6011
DOS(E_F), states/eV/f.u.: 1.32
Magnetic moment, μB per atom: 0.000
Mass density, kg/m³: 5036
Crystal system: monoclinic
ΔE_f (raw), eV/atom: -2.07

=====

## BaNa2TlF8 (PBE)

Data for an optimized crystal structure of BaNa2TlF8.

Cell: 4.220 5.501 8.155 Å, 90.00 90.00 90.00°
Sites, in units of the cell vectors:
1 Ba 0.000 0.000 0.000
2 Na 0.500 0.500 0.273
3 Na 0.500 0.500 0.727
4 Tl 0.000 0.000 0.500
5 F 0.000 0.247 0.284
6 F 0.000 0.247 0.716
7 F 0.000 0.753 0.284
8 F 0.000 0.753 0.716
9 F 0.500 0.224 0.500
10 F 0.500 0.284 0.000
11 F 0.500 0.716 0.000
12 F 0.500 0.776 0.500

Total energy, eV per atom: -4.2906
DOS(E_F), states/eV/f.u.: 9.53
Magnetic moment, μB per atom: 0.090
Mass density, kg/m³: 4733
Crystal system: orthorhombic
ΔE_f (raw), eV/atom: -2.47

=====

## AlSi2Tc (PBE)

Data for an optimized crystal structure of AlSi2Tc.

Cell: 7.829 7.829 7.829 Å, 22.09 22.09 22.09°
Sites, in units of the cell vectors:
1 Al 0.000 0.000 0.000
2 Si 0.244 0.244 0.244
3 Si 0.756 0.756 0.756
4 Tc 0.500 0.500 0.500

Total energy, eV per atom: -6.3025
DOS(E_F), states/eV/f.u.: 3.04
Magnetic moment, μB per atom: 0.000
Mass density, kg/m³: 5054
Crystal system: trigonal
ΔE_f (raw), eV/atom: -0.06

=====

## Ta3IrPd (PBE)

Data for an optimized crystal structure of Ta3IrPd.

Cell: 4.817 4.817 4.817 Å, 90.00 90.00 90.00°
Sites, in units of the cell vectors:
1 Ta 0.000 0.000 0.500
2 Ta 0.000 0.500 0.000
3 Ta 0.500 0.000 0.000
4 Ir 0.000 0.000 0.000
5 Pd 0.500 0.500 0.500

Total energy, eV per atom: -8.8705
DOS(E_F), states/eV/f.u.: 5.98
Magnetic moment, μB per atom: 0.000
Mass density, kg/m³: 12500
Crystal system: cubic
Energy above the lowest structure with this stoichiometry, meV per atom: 0
Formation enthalpy at 0 K, eV/f.u.: 5.26

=====

## KW4Se8 (PBE)

Data for an optimized crystal structure of KW4Se8.

Cell: 9.035 9.035 12.406 Å, 130.26 130.26 21.64°
Sites, in units of the cell vectors:
1 K 0.000 0.000 0.000
2 W 0.176 0.176 0.484
3 W 0.312 0.312 0.127
4 W 0.688 0.688 0.873
5 W 0.824 0.824 0.516
6 Se 0.045 0.045 0.741
7 Se 0.315 0.315 0.928
8 Se 0.359 0.359 0.697
9 Se 0.363 0.363 0.404
10 Se 0.637 0.637 0.596
11 Se 0.641 0.641 0.303
12 Se 0.685 0.685 0.072
13 Se 0.955 0.955 0.259

Total energy, eV per atom: -6.6046
DOS(E_F), states/eV/f.u.: 2.68
Magnetic moment, μB per atom: 0.000
Mass density, kg/m³: 8301
Crystal system: monoclinic
ΔE_f (raw), eV/atom: -0.39

=====

## Pr12Ho3Al (PBE)

Data for an optimized crystal structure of Pr12Ho3Al.

Cell: 5.105 5.105 20.678 Å, 90.00 90.00 90.00°
Sites, in units of the cell vectors:
1 Pr 0.000 0.000 0.000
2 Pr 0.000 0.000 0.246
3 Pr 0.000 0.000 0.500
4 Pr 0.000 0.000 0.754
5 Pr 0.000 0.500 0.118
6 Pr 0.000 0.500 0.373
7 Pr 0.000 0.500 0.627
8 Pr 0.000 0.500 0.882
9 Pr 0.500 0.000 0.118
10 Pr 0.500 0.000 0.373
11 Pr 0.500 0.000 0.627
12 Pr 0.500 0.000 0.882
13 Ho 0.500 0.500 0.247
14 Ho 0.500 0.500 0.500
15 Ho 0.500 0.500 0.753
16 Al 0.500 0.500 0.000

Total energy, eV per atom: -4.6953
DOS(E_F), states/eV/f.u.: 20.92
Magnetic moment, μB per atom: 0.000
Mass density, kg/m³: 6818
Crystal system: tetragonal
Formation enthalpy at 0 K, eV/f.u.: -0.29

=====

## GdCuNiAg (PBE)

Data for an optimized crystal structure of GdCuNiAg.

Cell: 4.632 4.632 4.632 Å, 60.00 60.00 60.00°
Sites, in units of the cell vectors:
1 Gd 0.000 0.000 0.000
2 Cu 0.750 0.750 0.750
3 Ni 0.250 0.250 0.250
4 Ag 0.500 0.500 0.500

Total energy, eV per atom: -6.8132
DOS(E_F), states/eV/f.u.: 2.12
Magnetic moment, μB per atom: 1.780
Mass density, kg/m³: 9155
Crystal system: cubic
Formation enthalpy at 0 K, eV/f.u.: -0.44

=====

## NaAu (PBE)

Data for an optimized crystal structure of NaAu.

Cell: 4.252 4.252 4.252 Å, 60.00 60.00 60.00°
Sites, in units of the cell vectors:
1 Na 0.000 0.000 0.000
2 Au 0.500 0.500 0.500

Total energy, eV per atom: -2.4374
Magnetic moment, μB per atom: 0.000
Mass density, kg/m³: 6718
Crystal system: cubic
Formation enthalpy at 0 K, eV/f.u.: -0.28

=====

## RbNa2CuP (PBE)

Data for an optimized crystal structure of RbNa2CuP.

Cell: 5.734 5.734 4.454 Å, 90.00 90.00 90.00°
Sites, in units of the cell vectors:
1 Rb 0.000 0.000 0.000
2 Na 0.000 0.500 0.500
3 Na 0.500 0.000 0.500
4 Cu 0.500 0.500 0.000
5 P 0.500 0.500 0.500

Total energy, eV per atom: -2.6764
DOS(E_F), states/eV/f.u.: 1.69
Magnetic moment, μB per atom: 0.000
Mass density, kg/m³: 2562
Crystal system: tetragonal
Formation enthalpy at 0 K, eV/f.u.: -0.27

=====

## Th2CdGe4Pt3 (PBE)

Data for an optimized crystal structure of Th2CdGe4Pt3.

Cell: 4.365 4.365 10.492 Å, 90.00 90.00 90.00°
Sites, in units of the cell vectors:
1 Th 0.000 0.500 0.240
2 Th 0.500 0.000 0.760
3 Cd 0.000 0.000 0.500
4 Ge 0.000 0.000 0.000
5 Ge 0.000 0.500 0.644
6 Ge 0.500 0.000 0.356
7 Ge 0.500 0.500 0.000
8 Pt 0.000 0.500 0.878
9 Pt 0.500 0.000 0.122
10 Pt 0.500 0.500 0.500

Total energy, eV per atom: -6.0103
DOS(E_F), states/eV/f.u.: 2.43
Magnetic moment, μB per atom: 0.000
Mass density, kg/m³: 12063
Crystal system: tetragonal
Formation enthalpy at 0 K, eV/f.u.: -7.76

=====

## HgSeBr2 (PBE)

Data for an optimized crystal structure of HgSeBr2.

Cell: 4.400 4.400 10.234 Å, 90.00 90.00 130.55°
Sites, in units of the cell vectors:
1 Hg 0.000 0.000 0.000
2 Se 0.000 0.000 0.500
3 Br 0.500 0.500 0.317
4 Br 0.500 0.500 0.683

Total energy, eV per atom: -1.7655
DOS(E_F), states/eV/f.u.: 0.15
Magnetic moment, μB per atom: 0.000
Mass density, kg/m³: 4846
Crystal system: orthorhombic
Energy above the lowest structure with this stoichiometry, meV per atom: 195
ΔE_f (raw), eV/atom: 0.02

=====

## LiTm2Fe (PBE)

Data for an optimized crystal structure of LiTm2Fe.

Cell: 10.192 10.192 10.192 Å, 19.34 19.34 19.34°
Sites, in units of the cell vectors:
1 Li 0.000 0.000 0.000
2 Tm 0.106 0.106 0.106
3 Tm 0.894 0.894 0.894
4 Fe 0.500 0.500 0.500

Total energy, eV per atom: -4.5542
DOS(E_F), states/eV/f.u.: 3.59
Magnetic moment, μB per atom: 0.240
Mass density, kg/m³: 6555
Crystal system: trigonal
Energy above the lowest structure with this stoichiometry, meV per atom: 269
Formation enthalpy at 0 K, eV/f.u.: 1.10

=====

## La2AgRh3O8 (PBE)

Data for an optimized crystal structure of La2AgRh3O8.

Cell: 6.915 6.915 6.915 Å, 55.89 55.89 55.89°
Sites, in units of the cell vectors:
1 La 0.000 0.000 0.000
2 La 0.486 0.486 0.486
3 Ag 0.822 0.822 0.822
4 Rh 0.475 0.475 0.985
5 Rh 0.475 0.985 0.475
6 Rh 0.985 0.475 0.475
7 O 0.239 0.239 0.661
8 O 0.239 0.661 0.239
9 O 0.257 0.257 0.257
10 O 0.267 0.737 0.737
11 O 0.661 0.239 0.239
12 O 0.698 0.698 0.698
13 O 0.737 0.267 0.737
14 O 0.737 0.737 0.267

Total energy, eV per atom: -6.8948
Magnetic moment, μB per atom: 0.000
Mass density, kg/m³: 6457
Crystal system: trigonal
ΔE_f (raw), eV/atom: -1.58

=====

## U2Si3Ni4Pd (PBE)

Data for an optimized crystal structure of U2Si3Ni4Pd.

Cell: 3.796 3.796 10.479 Å, 90.00 90.00 90.00°
Sites, in units of the cell vectors:
1 U 0.000 0.500 0.249
2 U 0.500 0.000 0.751
3 Si 0.000 0.500 0.878
4 Si 0.500 0.000 0.122
5 Si 0.500 0.500 0.500
6 Ni 0.000 0.000 0.000
7 Ni 0.000 0.500 0.661
8 Ni 0.500 0.000 0.339
9 Ni 0.500 0.500 0.000
10 Pd 0.000 0.000 0.500

Total energy, eV per atom: -7.2183
DOS(E_F), states/eV/f.u.: 14.52
Magnetic moment, μB per atom: 0.313
Mass density, kg/m³: 9914
Crystal system: tetragonal
ΔE_f (raw), eV/atom: -0.50

=====

## Ti4Fe3Co (PBE)

Data for an optimized crystal structure of Ti4Fe3Co.

Cell: 2.953 4.190 8.371 Å, 90.00 90.00 90.00°
Sites, in units of the cell vectors:
1 Ti 0.000 0.000 0.000
2 Ti 0.000 0.000 0.500
3 Ti 0.000 0.500 0.248
4 Ti 0.000 0.500 0.752
5 Fe 0.500 0.000 0.251
6 Fe 0.500 0.000 0.749
7 Fe 0.500 0.500 0.000
8 Co 0.500 0.500 0.500

Total energy, eV per atom: -8.4110
DOS(E_F), states/eV/f.u.: 4.36
Magnetic moment, μB per atom: 0.105
Mass density, kg/m³: 6701
Crystal system: orthorhombic
Formation enthalpy at 0 K, eV/f.u.: -3.21

=====

## LiTl2Co (PBE)

Data for an optimized crystal structure of LiTl2Co.

Cell: 8.714 8.714 8.714 Å, 22.08 22.08 22.08°
Sites, in units of the cell vectors:
1 Li 0.000 0.000 0.000
2 Tl 0.244 0.244 0.244
3 Tl 0.756 0.756 0.756
4 Co 0.500 0.500 0.500

Total energy, eV per atom: -3.1449
DOS(E_F), states/eV/f.u.: 3.08
Magnetic moment, μB per atom: 0.308
Mass density, kg/m³: 9613
Crystal system: trigonal
Formation enthalpy at 0 K, eV/f.u.: 1.17